[1]
Computed, not measured: EuPbSe2 after structural relaxation at the GGA-PBE level of DFT.

As for the space group: P4/mmm. The calculation puts the raw formation energy at -1.094 eV/atom. The value obtained for the polymorph energy (0 for the lowest one) is 187 meV/atom.

```
data_EuPbSe2
_chemical_formula_sum 'Eu1 Pb1 Se2'
_cell_length_a 5.257
_cell_length_b 5.257
_cell_length_c 3.796
_cell_angle_alpha 90.00
_cell_angle_beta 90.00
_cell_angle_gamma 90.00
_symmetry_space_group_name_H-M 'P 1'
_symmetry_Int_Tables_number 1
loop_
_symmetry_equiv_pos_as_xyz
'x,y,z'
loop_
_atom_site_label
_atom_site_fract_x
_atom_site_fract_y
_atom_site_fract_z
Eu1 0.000 0.000 0.000
Pb1 0.500 0.500 0.000
Se1 0.000 0.500 0.500
Se2 0.500 0.000 0.500
```

[2]
Computed, not measured: Eu3Pb5Se12 after structural relaxation at the GGA-PBE level of DFT.

As for the space group: Ia-3d. The calculation puts the raw formation energy at -0.724 eV/atom.

```
data_Eu3Pb5Se12
_chemical_formula_sum 'Eu12 Pb20 Se48'
_cell_length_a 14.915
_cell_length_b 14.915
_cell_length_c 14.915
_cell_angle_alpha 109.47
_cell_angle_beta 109.47
_cell_angle_gamma 109.47
_symmetry_space_group_name_H-M 'P 1'
_symmetry_Int_Tables_number 1
loop_
_symmetry_equiv_pos_as_xyz
'x,y,z'
loop_
_atom_site_label
_atom_site_fract_x
_atom_site_fract_y
_atom_site_fract_z
Eu1 0.125 0.250 0.375
Eu2 0.125 0.375 0.750
Eu3 0.250 0.375 0.125
Eu4 0.250 0.875 0.625
Eu5 0.375 0.125 0.250
Eu6 0.375 0.750 0.125
Eu7 0.625 0.250 0.875
Eu8 0.625 0.875 0.750
Eu9 0.750 0.125 0.375
Eu10 0.750 0.625 0.875
Eu11 0.875 0.625 0.250
Eu12 0.875 0.750 0.625
Pb1 0.000 0.000 0.000
Pb2 0.000 0.000 0.500
Pb3 0.000 0.500 0.000
Pb4 0.000 0.500 0.500
Pb5 0.125 0.750 0.875
Pb6 0.125 0.875 0.250
Pb7 0.250 0.125 0.875
Pb8 0.250 0.625 0.375
Pb9 0.375 0.250 0.625
Pb10 0.375 0.625 0.750
Pb11 0.500 0.000 0.000
Pb12 0.500 0.000 0.500
Pb13 0.500 0.500 0.000
Pb14 0.500 0.500 0.500
Pb15 0.625 0.375 0.250
Pb16 0.625 0.750 0.375
Pb17 0.750 0.375 0.625
Pb18 0.750 0.875 0.125
Pb19 0.875 0.125 0.750
Pb20 0.875 0.250 0.125
Se1 0.051 0.224 0.138
Se2 0.051 0.327 0.913
Se3 0.086 0.724 0.673
Se4 0.086 0.862 0.413
Se5 0.087 0.638 0.414
Se6 0.087 0.949 0.673
Se7 0.138 0.051 0.224
Se8 0.138 0.587 0.914
Se9 0.173 0.224 0.586
Se10 0.173 0.449 0.587
Se11 0.224 0.138 0.051
Se12 0.224 0.586 0.173
Se13 0.276 0.327 0.914
Se14 0.276 0.449 0.362
Se15 0.327 0.913 0.051
Se16 0.327 0.914 0.276
Se17 0.362 0.276 0.449
Se18 0.362 0.586 0.913
Se19 0.413 0.086 0.862
Se20 0.413 0.827 0.551
Se21 0.414 0.087 0.638
Se22 0.414 0.827 0.776
Se23 0.449 0.362 0.276
Se24 0.449 0.587 0.173
Se25 0.551 0.413 0.827
Se26 0.551 0.638 0.724
Se27 0.586 0.173 0.224
Se28 0.586 0.913 0.362
Se29 0.587 0.173 0.449
Se30 0.587 0.914 0.138
Se31 0.638 0.414 0.087
Se32 0.638 0.724 0.551
Se33 0.673 0.086 0.724
Se34 0.673 0.087 0.949
Se35 0.724 0.551 0.638
Se36 0.724 0.673 0.086
Se37 0.776 0.414 0.827
Se38 0.776 0.862 0.949
Se39 0.827 0.551 0.413
Se40 0.827 0.776 0.414
Se41 0.862 0.413 0.086
Se42 0.862 0.949 0.776
Se43 0.913 0.051 0.327
Se44 0.913 0.362 0.586
Se45 0.914 0.138 0.587
Se46 0.914 0.276 0.327
Se47 0.949 0.673 0.087
Se48 0.949 0.776 0.862
```

[3]
Computed, not measured: EuPbSe2 after structural relaxation at the GGA-PBE level of DFT.

As for the space group: R-3m. The calculation puts the raw formation energy at -1.280 eV/atom. The value obtained for the polymorph energy (0 for the lowest one) is 0 meV/atom.

```
data_EuPbSe2
_chemical_formula_sum 'Eu1 Pb1 Se2'
_cell_length_a 7.601
_cell_length_b 7.601
_cell_length_c 7.601
_cell_angle_alpha 33.48
_cell_angle_beta 33.48
_cell_angle_gamma 33.48
_symmetry_space_group_name_H-M 'P 1'
_symmetry_Int_Tables_number 1
loop_
_symmetry_equiv_pos_as_xyz
'x,y,z'
loop_
_atom_site_label
_atom_site_fract_x
_atom_site_fract_y
_atom_site_fract_z
Eu1 0.000 0.000 0.000
Pb1 0.500 0.500 0.500
Se1 0.252 0.252 0.252
Se2 0.748 0.748 0.748
```

[4]
Computed, not measured: Eu2SiPb after structural relaxation at the GGA-PBE level of DFT.

As for the space group: P4/mmm. The calculation puts the raw formation energy at -0.440 eV/atom. The value obtained for the polymorph energy (0 for the lowest one) is 0 meV/atom.

```
data_Eu2SiPb
_chemical_formula_sum 'Eu2 Si1 Pb1'
_cell_length_a 3.518
_cell_length_b 3.518
_cell_length_c 8.946
_cell_angle_alpha 90.00
_cell_angle_beta 90.00
_cell_angle_gamma 90.00
_symmetry_space_group_name_H-M 'P 1'
_symmetry_Int_Tables_number 1
loop_
_symmetry_equiv_pos_as_xyz
'x,y,z'
loop_
_atom_site_label
_atom_site_fract_x
_atom_site_fract_y
_atom_site_fract_z
Eu1 0.000 0.000 0.216
Eu2 0.000 0.000 0.784
Si1 0.500 0.500 0.000
Pb1 0.500 0.500 0.500
```

[5]
Computed, not measured: Eu2SiPb after structural relaxation at the GGA-PBE level of DFT.

As for the space group: R-3m. The calculation puts the raw formation energy at -0.056 eV/atom. The value obtained for the polymorph energy (0 for the lowest one) is 383 meV/atom.

```
data_Eu2SiPb
_chemical_formula_sum 'Eu2 Si1 Pb1'
_cell_length_a 11.053
_cell_length_b 11.053
_cell_length_c 11.053
_cell_angle_alpha 19.42
_cell_angle_beta 19.42
_cell_angle_gamma 19.42
_symmetry_space_group_name_H-M 'P 1'
_symmetry_Int_Tables_number 1
loop_
_symmetry_equiv_pos_as_xyz
'x,y,z'
loop_
_atom_site_label
_atom_site_fract_x
_atom_site_fract_y
_atom_site_fract_z
Eu1 0.103 0.103 0.103
Eu2 0.897 0.897 0.897
Si1 0.500 0.500 0.500
Pb1 0.000 0.000 0.000
```

[6]
Computed, not measured: Eu2SiPb after structural relaxation at the GGA-PBE level of DFT.

As for the space group: P4/mmm. The calculation puts the raw formation energy at -0.375 eV/atom. The value obtained for the polymorph energy (0 for the lowest one) is 64 meV/atom.

```
data_Eu2SiPb
_chemical_formula_sum 'Eu2 Si1 Pb1'
_cell_length_a 4.943
_cell_length_b 4.943
_cell_length_c 4.516
_cell_angle_alpha 90.00
_cell_angle_beta 90.00
_cell_angle_gamma 90.00
_symmetry_space_group_name_H-M 'P 1'
_symmetry_Int_Tables_number 1
loop_
_symmetry_equiv_pos_as_xyz
'x,y,z'
loop_
_atom_site_label
_atom_site_fract_x
_atom_site_fract_y
_atom_site_fract_z
Eu1 0.000 0.500 0.000
Eu2 0.500 0.000 0.000
Si1 0.000 0.000 0.500
Pb1 0.500 0.500 0.500
```

[7]
Computed, not measured: Sm2EuPb after structural relaxation at the GGA-PBE level of DFT.

As for the space group: P4/mmm. The value obtained for the polymorph energy (0 for the lowest one) is 0 meV/atom. The energy of formation is -0.294 eV/atom.

```
data_Sm2EuPb
_chemical_formula_sum 'Sm2 Eu1 Pb1'
_cell_length_a 5.033
_cell_length_b 5.033
_cell_length_c 4.902
_cell_angle_alpha 90.00
_cell_angle_beta 90.00
_cell_angle_gamma 90.00
_symmetry_space_group_name_H-M 'P 1'
_symmetry_Int_Tables_number 1
loop_
_symmetry_equiv_pos_as_xyz
'x,y,z'
loop_
_atom_site_label
_atom_site_fract_x
_atom_site_fract_y
_atom_site_fract_z
Sm1 0.000 0.500 0.000
Sm2 0.500 0.000 0.000
Eu1 0.000 0.000 0.500
Pb1 0.500 0.500 0.500
```

[8]
Computed, not measured: SmEuPb2 after structural relaxation at the GGA-PBE level of DFT.

As for the space group: P4/mmm. The value obtained for the polymorph energy (0 for the lowest one) is 5 meV/atom. The energy of formation is -0.491 eV/atom.

```
data_SmEuPb2
_chemical_formula_sum 'Sm1 Eu1 Pb2'
_cell_length_a 4.119
_cell_length_b 4.119
_cell_length_c 7.311
_cell_angle_alpha 90.00
_cell_angle_beta 90.00
_cell_angle_gamma 90.00
_symmetry_space_group_name_H-M 'P 1'
_symmetry_Int_Tables_number 1
loop_
_symmetry_equiv_pos_as_xyz
'x,y,z'
loop_
_atom_site_label
_atom_site_fract_x
_atom_site_fract_y
_atom_site_fract_z
Sm1 0.000 0.000 0.000
Eu1 0.000 0.000 0.500
Pb1 0.500 0.500 0.236
Pb2 0.500 0.500 0.764
```

[9]
Computed, not measured: Sm2EuPb after structural relaxation at the GGA-PBE level of DFT.

As for the space group: P4/mmm. The value obtained for the polymorph energy (0 for the lowest one) is 96 meV/atom. The energy of formation is -0.198 eV/atom.

```
data_Sm2EuPb
_chemical_formula_sum 'Sm2 Eu1 Pb1'
_cell_length_a 4.267
_cell_length_b 4.267
_cell_length_c 7.064
_cell_angle_alpha 90.00
_cell_angle_beta 90.00
_cell_angle_gamma 90.00
_symmetry_space_group_name_H-M 'P 1'
_symmetry_Int_Tables_number 1
loop_
_symmetry_equiv_pos_as_xyz
'x,y,z'
loop_
_atom_site_label
_atom_site_fract_x
_atom_site_fract_y
_atom_site_fract_z
Sm1 0.000 0.000 0.225
Sm2 0.000 0.000 0.775
Eu1 0.500 0.500 0.500
Pb1 0.500 0.500 0.000
```

[10]
Computed, not measured: SmEuPb2 after structural relaxation at the GGA-PBE level of DFT.

As for the space group: Fm-3m. The value obtained for the polymorph energy (0 for the lowest one) is 38 meV/atom. The energy of formation is -0.458 eV/atom.

```
data_SmEuPb2
_chemical_formula_sum 'Sm1 Eu1 Pb2'
_cell_length_a 5.593
_cell_length_b 5.593
_cell_length_c 5.593
_cell_angle_alpha 60.00
_cell_angle_beta 60.00
_cell_angle_gamma 60.00
_symmetry_space_group_name_H-M 'P 1'
_symmetry_Int_Tables_number 1
loop_
_symmetry_equiv_pos_as_xyz
'x,y,z'
loop_
_atom_site_label
_atom_site_fract_x
_atom_site_fract_y
_atom_site_fract_z
Sm1 0.000 0.000 0.000
Eu1 0.500 0.500 0.500
Pb1 0.250 0.250 0.250
Pb2 0.750 0.750 0.750
```

[11]
Computed, not measured: SmEuPb2 after structural relaxation at the GGA-PBE level of DFT.

As for the space group: R-3m. The value obtained for the polymorph energy (0 for the lowest one) is 113 meV/atom. The energy of formation is -0.383 eV/atom.

```
data_SmEuPb2
_chemical_formula_sum 'Sm1 Eu1 Pb2'
_cell_length_a 10.226
_cell_length_b 10.226
_cell_length_c 10.226
_cell_angle_alpha 21.92
_cell_angle_beta 21.92
_cell_angle_gamma 21.92
_symmetry_space_group_name_H-M 'P 1'
_symmetry_Int_Tables_number 1
loop_
_symmetry_equiv_pos_as_xyz
'x,y,z'
loop_
_atom_site_label
_atom_site_fract_x
_atom_site_fract_y
_atom_site_fract_z
Sm1 0.000 0.000 0.000
Eu1 0.500 0.500 0.500
Pb1 0.251 0.251 0.251
Pb2 0.749 0.749 0.749
```

[12]
Computed, not measured: Sm2EuPb after structural relaxation at the GGA-PBE level of DFT.

As for the space group: Fm-3m. The value obtained for the polymorph energy (0 for the lowest one) is 136 meV/atom. The energy of formation is -0.158 eV/atom.

```
data_Sm2EuPb
_chemical_formula_sum 'Sm2 Eu1 Pb1'
_cell_length_a 5.610
_cell_length_b 5.610
_cell_length_c 5.610
_cell_angle_alpha 60.00
_cell_angle_beta 60.00
_cell_angle_gamma 60.00
_symmetry_space_group_name_H-M 'P 1'
_symmetry_Int_Tables_number 1
loop_
_symmetry_equiv_pos_as_xyz
'x,y,z'
loop_
_atom_site_label
_atom_site_fract_x
_atom_site_fract_y
_atom_site_fract_z
Sm1 0.250 0.250 0.250
Sm2 0.750 0.750 0.750
Eu1 0.000 0.000 0.000
Pb1 0.500 0.500 0.500
```

| no. | size of the total moment (Bohr magnetons per cell) |
| --- | --- |
| 1 | 6.9 |
| 2 | 79.7 |
| 3 | 7.0 |
| 4 | 13.8 |
| 5 | 14.5 |
| 6 | 14.0 |
| 7 | 7.6 |
| 8 | 7.3 |
| 9 | 7.5 |
| 10 | 7.0 |
| 11 | 7.1 |
| 12 | 8.2 |